Compound: Ho4InAg2Au
Source: the Alexandria database
Functional: PBE
Structure: optimized geometry

POSCAR file:
```
Ho4InAg2Au
1.0
5.151 0.000 0.000
2.575 4.461 0.000
2.575 1.487 8.420
Ho In Ag Au
4 1 2 1
Direct
0.380 0.380 0.859
0.871 0.871 0.388
0.129 0.129 0.612
0.620 0.620 0.141
0.000 0.000 0.000
0.744 0.744 0.769
0.256 0.256 0.231
0.500 0.500 0.500
```

Results
- ρ (g/cm³) = 10.19
- formation energy (meV/atom) = -505
- DOS(E_F) (states/eV/atom) = 0.7038
- calculated volume (Å³/cell) = 193.45
- calculated total energy (eV per atom) = -4.259
- total magnetization (μB/atom) = 0.000

Compound: LaHoAgAu
Source: the Alexandria database
Functional: PBE
Structure: optimized geometry

POSCAR file:
```
LaHoAgAu
1.0
-1.116 1.127 3.283
-1.638 -3.211 0.546
6.376 -2.726 3.103
La Ho Ag Au
1 1 1 1
Direct
0.000 0.000 0.862
0.000 0.000 0.350
0.500 0.500 0.578
0.500 0.500 0.137
```

Results
- ρ (g/cm³) = 10.01
- formation energy (meV/atom) = -571
- DOS(E_F) (states/eV/atom) = 0.4849
- calculated volume (Å³/cell) = 100.98
- calculated total energy (eV per atom) = -4.480
- energy above the lowest structure with this stoichiometry (meV/atom) = 0
- total magnetization (μB/atom) = 0.000

Compound: LaHoAgAu
Source: the Alexandria database
Functional: PBE
Structure: optimized geometry

POSCAR file:
```
LaHoAgAu
1.0
5.244 0.000 0.000
2.622 4.542 0.000
2.622 1.514 4.282
Au Ho Ag La
1 1 1 1
Direct
0.750 0.750 0.750
0.000 0.000 0.000
0.250 0.250 0.250
0.500 0.500 0.500
```

Results
- ρ (g/cm³) = 9.91
- formation energy (meV/atom) = -531
- DOS(E_F) (states/eV/atom) = 1.0567
- calculated volume (Å³/cell) = 101.98
- calculated total energy (eV per atom) = -4.440
- energy above the lowest structure with this stoichiometry (meV/atom) = 40
- total magnetization (μB/atom) = 0.000

Compound: Li2HoAgAu2
Source: the Alexandria database
Functional: PBE
Structure: optimized geometry

POSCAR file:
```
Li2HoAgAu2
1.0
4.490 0.000 0.000
-2.245 3.888 0.000
0.000 0.000 6.432
Li Ho Ag Au
2 1 1 2
Direct
0.333 0.667 0.654
0.667 0.333 0.346
0.000 0.000 0.000
0.000 0.000 0.500
0.333 0.667 0.236
0.667 0.333 0.764
```

Results
- ρ (g/cm³) = 10.06
- formation energy (meV/atom) = -546
- DOS(E_F) (states/eV/atom) = 0.4177
- calculated volume (Å³/cell) = 112.30
- calculated total energy (eV per atom) = -3.514
- total magnetization (μB/atom) = 0.000

Compound: LiHo2AgAu4
Source: the Alexandria database
Functional: PBE
Structure: optimized geometry

POSCAR file:
```
LiHo2AgAu4
1.0
4.884 0.000 0.000
2.442 4.229 0.000
2.442 1.410 7.834
Li Ho Ag Au
1 2 1 4
Direct
0.500 0.500 0.500
0.746 0.746 0.763
0.254 0.254 0.237
0.000 0.000 0.000
0.383 0.383 0.852
0.872 0.872 0.385
0.128 0.128 0.615
0.617 0.617 0.148
```

Results
- ρ (g/cm³) = 12.65
- formation energy (meV/atom) = -674
- DOS(E_F) (states/eV/atom) = 0.3725
- calculated volume (Å³/cell) = 161.81
- calculated total energy (eV per atom) = -4.052
- total magnetization (μB/atom) = 0.000

Compound: HoMg2AgAu4
Source: the Alexandria database
Functional: PBE
Structure: optimized geometry

POSCAR file:
```
HoMg2AgAu4
1.0
4.771 0.000 0.000
2.385 4.132 0.000
2.385 1.377 7.906
Ho Mg Ag Au
1 2 1 4
Direct
0.000 0.000 0.000
0.756 0.756 0.731
0.244 0.244 0.269
0.500 0.500 0.500
0.379 0.379 0.862
0.877 0.877 0.370
0.123 0.123 0.630
0.621 0.621 0.138
```

Results
- ρ (g/cm³) = 11.82
- formation energy (meV/atom) = -547
- DOS(E_F) (states/eV/atom) = 0.2699
- calculated volume (Å³/cell) = 155.84
- calculated total energy (eV per atom) = -3.513
- total magnetization (μB/atom) = 0.000

Compound: NaHoAgAu
Source: the Alexandria database
Functional: PBE
Structure: optimized geometry

POSCAR file:
```
NaHoAgAu
1.0
4.999 0.000 0.000
2.500 4.329 0.000
2.500 1.443 4.082
Na Au Ho Ag
1 1 1 1
Direct
0.500 0.500 0.500
0.750 0.750 0.750
0.000 0.000 0.000
0.250 0.250 0.250
```

Results
- ρ (g/cm³) = 9.26
- formation energy (meV/atom) = -353
- DOS(E_F) (states/eV/atom) = 0.5789
- calculated volume (Å³/cell) = 88.34
- calculated total energy (eV per atom) = -3.359
- total magnetization (μB/atom) = 0.000

Compound: NdHoAgAu
Source: the Alexandria database
Functional: PBE
Structure: optimized geometry

POSCAR file:
```
NdHoAgAu
1.0
5.190 0.000 0.000
2.595 4.494 0.000
2.595 1.498 4.237
Nd Au Ho Ag
1 1 1 1
Direct
0.250 0.250 0.250
0.000 0.000 0.000
0.750 0.750 0.750
0.500 0.500 0.500
```

Results
- ρ (g/cm³) = 10.32
- formation energy (meV/atom) = -542
- DOS(E_F) (states/eV/atom) = 0.9116
- calculated volume (Å³/cell) = 98.82
- calculated total energy (eV per atom) = -4.411
- energy above the lowest structure with this stoichiometry (meV/atom) = 25
- total magnetization (μB/atom) = 0.000

Compound: NdHoAgAu
Source: the Alexandria database
Functional: PBE
Structure: optimized geometry

POSCAR file:
```
NdHoAgAu
1.0
3.629 0.000 0.000
0.000 3.629 0.000
0.000 0.000 7.475
Nd Ho Ag Au
1 1 1 1
Direct
0.000 0.000 0.862
0.000 0.000 0.350
0.500 0.500 0.585
0.500 0.500 0.131
```

Results
- ρ (g/cm³) = 10.36
- formation energy (meV/atom) = -567
- DOS(E_F) (states/eV/atom) = 0.4532
- calculated volume (Å³/cell) = 98.44
- calculated total energy (eV per atom) = -4.436
- energy above the lowest structure with this stoichiometry (meV/atom) = 0
- total magnetization (μB/atom) = 0.000

Compound: HoNiAgAu
Source: the Alexandria database
Functional: PBE
Structure: optimized geometry

POSCAR file:
```
HoNiAgAu
1.0
4.721 0.000 0.000
2.361 4.089 0.000
2.361 1.363 3.855
Ni Au Ho Ag
1 1 1 1
Direct
0.000 0.000 0.000
0.500 0.500 0.500
0.750 0.750 0.750
0.250 0.250 0.250
```

Results
- ρ (g/cm³) = 11.79
- formation energy (meV/atom) = -340
- DOS(E_F) (states/eV/atom) = 0.4428
- calculated volume (Å³/cell) = 74.41
- calculated total energy (eV per atom) = -4.462
- total magnetization (μB/atom) = 0.000

Compound: HoAgPbAu
Source: the Alexandria database
Functional: PBE
Structure: optimized geometry

POSCAR file:
```
HoAgPbAu
1.0
5.039 0.000 0.000
2.519 4.364 0.000
2.519 1.455 4.114
Pb Au Ho Ag
1 1 1 1
Direct
0.500 0.500 0.500
0.750 0.750 0.750
0.000 0.000 0.000
0.250 0.250 0.250
```

Results
- ρ (g/cm³) = 12.43
- formation energy (meV/atom) = -404
- DOS(E_F) (states/eV/atom) = 0.5325
- calculated volume (Å³/cell) = 90.47
- calculated total energy (eV per atom) = -4.008
- total magnetization (μB/atom) = 0.000

Compound: Ho4AgPdAu2
Source: the Alexandria database
Functional: PBE
Structure: optimized geometry

POSCAR file:
```
Ho4AgPdAu2
1.0
-0.929 -3.417 3.595
2.832 -4.165 0.315
5.826 1.386 6.365
Ho Ag Pd Au
4 1 1 2
Direct
0.378 0.378 0.865
0.872 0.872 0.384
0.128 0.128 0.616
0.622 0.622 0.135
0.000 0.000 0.000
0.500 0.500 0.500
0.746 0.746 0.763
0.254 0.254 0.237
```

Results
- ρ (g/cm³) = 11.59
- formation energy (meV/atom) = -748
- DOS(E_F) (states/eV/atom) = 0.5388
- calculated volume (Å³/cell) = 181.72
- calculated total energy (eV per atom) = -4.862
- total magnetization (μB/atom) = 0.000

Compound: HoAgPdAu
Source: the Alexandria database
Functional: PBE
Structure: optimized geometry

POSCAR file:
```
HoAgPdAu
1.0
-1.524 2.486 -3.816
-1.173 -2.298 -4.051
-4.597 -0.270 -1.362
Pd Au Ho Ag
1 1 1 1
Direct
0.000 0.000 0.000
0.500 0.500 0.500
0.750 0.750 0.750
0.250 0.250 0.250
```

Results
- ρ (g/cm³) = 12.21
- formation energy (meV/atom) = -613
- DOS(E_F) (states/eV/atom) = 0.3224
- calculated volume (Å³/cell) = 78.33
- calculated total energy (eV per atom) = -4.588
- energy above the lowest structure with this stoichiometry (meV/atom) = 4
- total magnetization (μB/atom) = 0.000

Compound: HoAgPdAu
Source: the Alexandria database
Functional: PBE
Structure: optimized geometry

POSCAR file:
```
HoAgPdAu
1.0
4.225 0.000 0.000
0.000 4.224 0.000
-2.112 -2.113 4.265
Ho Ag Pd Au
1 1 1 1
Direct
0.500 0.500 0.000
0.000 0.000 0.000
0.250 0.750 0.500
0.750 0.250 0.500
```

Results
- ρ (g/cm³) = 12.57
- formation energy (meV/atom) = -617
- DOS(E_F) (states/eV/atom) = 0.4032
- calculated volume (Å³/cell) = 76.12
- calculated total energy (eV per atom) = -4.592
- energy above the lowest structure with this stoichiometry (meV/atom) = 0
- total magnetization (μB/atom) = 0.000